No. 1
Material: CaGaH8Ir2
Method: DFT, GGA-PBE
State: relaxed

CIF file:
```
data_CaGaH8Ir2
_cell_length_a 9.126
_cell_length_b 3.891
_cell_length_c 7.926
_cell_angle_alpha 90.00
_cell_angle_beta 115.73
_cell_angle_gamma 90.00
_space_group_name_H-M_alt 'C 1 2/m 1'
_space_group_IT_number 12
loop_
_space_group_symop_operation_xyz
'x,y,z'
'-x,-y,-z'
'-x,y,-z'
'x,-y,z'
'x+1/2,y+1/2,z'
'-x+1/2,-y+1/2,-z'
'-x+1/2,y+1/2,-z'
'x+1/2,-y+1/2,z'
loop_
_atom_site_label
_atom_site_type_symbol
_atom_site_fract_x
_atom_site_fract_y
_atom_site_fract_z
Ca1 Ca 0.000 0.000 0.000
Ga1 Ga 0.000 0.000 0.500
H1 H 0.131 0.500 0.943
H2 H 0.136 0.363 0.328
H3 H 0.241 0.500 0.740
Ir1 Ir 0.050 0.500 0.711
```

**Final energy**: -103.8 eV for the cell shown
**Total moment**: 0.00 μB per formula unit

No. 2
Material: CaReN3
Method: DFT, GGA-PBE
State: relaxed

CIF file:
```
data_CaReN3
_cell_length_a 3.548
_cell_length_b 13.344
_cell_length_c 4.952
_cell_angle_alpha 90.00
_cell_angle_beta 90.00
_cell_angle_gamma 90.00
_space_group_name_H-M_alt 'C m c m'
_space_group_IT_number 63
_space_group_name_Hall '-C 2c 2'
loop_
_atom_site_label
_atom_site_type_symbol
_atom_site_fract_x
_atom_site_fract_y
_atom_site_fract_z
Ca1 Ca 0.000 0.163 0.250
Re1 Re 0.000 0.454 0.250
N1 N 0.000 0.000 0.000
N2 N 0.181 0.173 0.750
```

**Final energy**: -157.4 eV for the cell shown
**Total moment**: 0.00 μB per formula unit
**Formation energy from raw total energies**: 0.014 eV/atom

No. 3
Material: TbPmHo2
Method: DFT, GGA-PBE
State: relaxed

CIF file:
```
data_TbPmHo2
_cell_length_a 8.470
_cell_length_b 3.636
_cell_length_c 8.474
_cell_angle_alpha 90.00
_cell_angle_beta 95.57
_cell_angle_gamma 90.00
_space_group_name_H-M_alt 'P 1 21/m 1'
_space_group_IT_number 11
loop_
_space_group_symop_operation_xyz
'x,y,z'
'-x,-y,-z'
'-x,y+1/2,-z'
'x,-y+1/2,z'
loop_
_atom_site_label
_atom_site_type_symbol
_atom_site_fract_x
_atom_site_fract_y
_atom_site_fract_z
Tb1 Tb 0.165 0.250 0.082
Pm1 Pm 0.333 0.750 0.414
Ho1 Ho 0.083 0.250 0.668
Ho2 Ho 0.416 0.750 0.836
```

**Final energy**: -36.9 eV for the cell shown
**Total moment**: 0.00 μB per formula unit
**Calculated formation energy**: 0.018 eV/atom